No. 1
IrS4O | GGA-PBE | optimized geometry

Unit cell a=3.639 b=10.595 c=9.370 alpha=55.89 beta=61.81 gamma=85.21
Element x y z (fractional)
S 0.293 0.019 0.672
S 0.242 0.412 0.829
S 0.758 0.588 0.171
S 0.682 0.769 0.578
S 0.318 0.231 0.422
S 0.906 0.319 0.610
S 0.094 0.681 0.390
S 0.707 0.981 0.328
O 0.147 0.726 0.008
O 0.853 0.274 0.992
Ir 0.000 0.000 0.500
Ir 0.500 0.500 0.500

Properties
Raw formation energy, meV/atom: -159
M_tot, μB/f.u.: 0.0
Energy, eV per atom: -5.214

---

No. 2
LiV2As | GGA-PBE | optimized geometry

Unit cell a=6.809 b=6.809 c=5.431 alpha=51.18 beta=51.18 gamma=90.00
Element x y z (fractional)
V 0.640 0.125 0.250
V 0.875 0.890 0.750
V 0.375 0.360 0.750
V 0.110 0.625 0.250
As 0.000 0.000 0.000
As 0.750 0.250 0.500
Li 0.500 0.500 0.000
Li 0.250 0.750 0.500

Properties
M_tot, μB/f.u.: 0.0
Energy relative to the elements, eV/atom: 0.2214
Energy, eV per atom: -5.979

---

No. 3
Ce2SbF2 | GGA-PBE | optimized geometry

Unit cell a=7.315 b=6.761 c=6.437 alpha=69.16 beta=55.38 gamma=57.25
Each line ends with the local moment (μB).
Element x y z (fractional)
F 0.491 0.482 0.725  0.00
F 0.303 0.982 0.225  0.00
F 0.509 0.518 0.275  0.00
F 0.697 0.018 0.775  0.00
Ce 0.488 0.229 0.150  1.21
Ce 0.512 0.771 0.850  1.21
Ce 0.133 0.729 0.650  1.21
Ce 0.867 0.271 0.350  1.21
Sb 0.064 0.250 0.750  -0.05
Sb 0.936 0.750 0.250  -0.05

Properties
Raw formation energy, meV/atom: -2413
M_tot, μB/f.u.: 3.0
Energy, eV per atom: -6.360

---

No. 4
Sr4ZrSb | GGA-PBE | optimized geometry

Unit cell a=6.924 b=6.924 c=6.924 alpha=60.00 beta=60.00 gamma=60.00
Each line ends with the local moment (μB).
Element x y z (fractional)
Sr 0.875 0.375 0.375  0.05
Sr 0.375 0.875 0.375  0.05
Sr 0.375 0.375 0.375  0.05
Sr 0.375 0.375 0.875  0.05
Sb 0.000 0.000 0.000  -0.02
Zr 0.750 0.750 0.750  1.43

Properties
Raw formation energy, meV/atom: 549
M_tot, μB/f.u.: 3.5
Energy, eV per atom: -2.684

---

No. 5
Nb2Ge2S | GGA-PBE | optimized geometry

Unit cell a=6.887 b=6.887 c=3.654 alpha=90.00 beta=90.00 gamma=90.00
Element x y z (fractional)
S 0.000 0.000 0.000
S 0.500 0.500 0.000
Ge 0.868 0.368 0.500
Ge 0.368 0.132 0.500
Ge 0.132 0.632 0.500
Ge 0.632 0.868 0.500
Nb 0.665 0.165 0.000
Nb 0.335 0.835 0.000
Nb 0.165 0.335 0.000
Nb 0.835 0.665 0.000

Properties
Raw formation energy, meV/atom: -350
M_tot, μB/f.u.: 0.0
Energy, eV per atom: -7.050

---

No. 6
Tb2PrY6 | GGA-PBE | optimized geometry

Unit cell a=5.748 b=11.903 c=11.904 alpha=48.22 beta=103.91 gamma=103.91
Element x y z (fractional)
Tb 0.034 0.668 0.832
Tb 0.966 0.332 0.168
Tb 0.466 0.168 0.332
Tb 0.534 0.832 0.668
Y 0.141 0.833 0.998
Y 0.641 0.998 0.833
Y 0.359 0.002 0.167
Y 0.584 0.584 0.083
Y 0.191 0.498 0.333
Y 0.691 0.333 0.498
Y 0.859 0.167 0.002
Y 0.916 0.917 0.416
Y 0.309 0.667 0.502
Y 0.084 0.083 0.584
Y 0.416 0.416 0.917
Y 0.809 0.502 0.667
Pr 0.250 0.250 0.750
Pr 0.750 0.750 0.250

Properties
M_tot, μB/f.u.: 0.0
Energy relative to the elements, eV/atom: 0.0641
Energy, eV per atom: -5.805

---

No. 7
CaTh2Fe2N6 | GGA-PBE | optimized geometry

Unit cell a=5.446 b=5.446 c=6.927 alpha=66.85 beta=66.85 gamma=60.00
Each line ends with the local moment (μB).
Element x y z (fractional)
Ca 0.000 0.000 0.000  0.04
N 0.778 0.264 0.694  0.06
N 0.264 0.264 0.694  0.06
N 0.736 0.222 0.306  0.06
N 0.222 0.736 0.306  0.06
N 0.264 0.778 0.694  0.06
N 0.736 0.736 0.306  0.06
Fe 0.594 0.594 0.219  1.55
Fe 0.406 0.406 0.781  1.55
Th 0.789 0.789 0.633  0.11
Th 0.211 0.211 0.367  0.11

Properties
Raw formation energy, meV/atom: -572
M_tot, μB/f.u.: 4.1
Energy, eV per atom: -8.183

---

No. 8
CoTePN2 | GGA-PBE | optimized geometry

Unit cell a=3.632 b=3.632 c=5.894 alpha=90.00 beta=90.00 gamma=90.00
Element x y z (fractional)
Co 0.000 0.000 0.000
Te 0.000 0.000 0.500
P 0.500 0.500 0.500
N 0.500 0.000 0.000
N 0.000 0.500 0.000

Properties
Raw formation energy, meV/atom: 1198
M_tot, μB/f.u.: 0.0
Energy, eV per atom: -5.264

---

No. 9
SmLuThTl | GGA-PBE | optimized geometry

Unit cell a=5.517 b=5.517 c=5.517 alpha=60.00 beta=60.00 gamma=60.00
Element x y z (fractional)
Th 0.750 0.750 0.750
Tl 0.500 0.500 0.500
Lu 0.000 0.000 0.000
Sm 0.250 0.250 0.250

Properties
M_tot, μB/f.u.: 0.0
Energy relative to the elements, eV/atom: 0.0176
Energy, eV per atom: -4.739

---

No. 10
SrAc2Mg2Sn2 | GGA-PBE | optimized geometry

Unit cell a=5.138 b=5.138 c=10.525 alpha=75.87 beta=75.87 gamma=60.00
Element x y z (fractional)
Sn 0.736 0.736 0.792
Sn 0.264 0.264 0.208
Mg 0.597 0.597 0.208
Mg 0.403 0.403 0.792
Sr 0.000 0.000 0.000
Ac 0.129 0.129 0.613
Ac 0.871 0.871 0.387

Properties
M_tot, μB/f.u.: 0.0
Energy relative to the elements, eV/atom: -0.3101
Energy, eV per atom: -3.323

---

No. 11
CaAlAg2 | GGA-PBE | optimized geometry

Unit cell a=4.849 b=4.849 c=9.551 alpha=75.29 beta=75.29 gamma=90.00
Element x y z (fractional)
Ca 0.750 0.250 0.500
Ca 0.000 0.000 0.000
Al 0.250 0.750 0.500
Al 0.500 0.500 0.000
Ag 0.875 0.756 0.750
Ag 0.375 0.494 0.750
Ag 0.244 0.625 0.250
Ag 0.506 0.125 0.250

Properties
M_tot, μB/f.u.: 0.0
Energy relative to the elements, eV/atom: 0.0495
Energy, eV per atom: -2.812

---

No. 12
LiLaGe2Pd | GGA-PBE | optimized geometry

Unit cell a=4.284 b=4.284 c=6.140 alpha=110.42 beta=110.42 gamma=90.00
Element x y z (fractional)
Ge 0.383 0.383 0.766
Ge 0.617 0.617 0.234
Li 0.250 0.750 0.500
La 0.000 0.000 0.000
Pd 0.750 0.250 0.500

Properties
M_tot, μB/f.u.: 0.0
Energy relative to the elements, eV/atom: -0.7787
Energy, eV per atom: -5.032

---

No. 13
Pr2GaOs | GGA-PBE | optimized geometry

Unit cell a=4.207 b=6.058 c=8.608 alpha=112.61 beta=90.00 gamma=90.00
Element x y z (fractional)
Os 0.750 0.632 0.279
Os 0.250 0.368 0.721
Ga 0.750 0.642 0.785
Ga 0.250 0.358 0.215
Pr 0.250 0.786 0.557
Pr 0.750 0.222 0.912
Pr 0.750 0.214 0.443
Pr 0.250 0.778 0.088

Properties
M_tot, μB/f.u.: 0.0
Energy relative to the elements, eV/atom: -0.2814
Energy, eV per atom: -6.235

---

No. 14
Sr2HgGeS5 | GGA-PBE | optimized geometry

Unit cell a=3.898 b=9.777 c=11.856 alpha=90.00 beta=90.00 gamma=101.50
Element x y z (fractional)
S 0.361 0.722 0.993
S 0.288 0.576 0.685
S 0.034 0.069 0.041
S 0.672 0.343 0.877
S 0.639 0.278 0.493
S 0.328 0.657 0.377
S 0.712 0.424 0.185
S 0.495 0.991 0.272
S 0.505 0.009 0.772
S 0.966 0.931 0.541
Sr 0.881 0.761 0.805
Sr 0.124 0.249 0.678
Sr 0.876 0.751 0.178
Sr 0.119 0.239 0.305
Ge 0.562 0.125 0.934
Ge 0.438 0.875 0.434
Hg 0.232 0.463 0.039
Hg 0.768 0.537 0.539

Properties
Raw formation energy, meV/atom: -1042
M_tot, μB/f.u.: 0.0
Energy, eV per atom: -4.255

---

No. 15
HfRh3S | GGA-PBE | optimized geometry

Unit cell a=4.397 b=4.397 c=4.397 alpha=90.00 beta=90.00 gamma=90.00
Element x y z (fractional)
Rh 0.500 0.000 0.000
Rh 0.000 0.500 0.000
Rh 0.000 0.000 0.500
Hf 0.500 0.500 0.500
S 0.000 0.000 0.000

Properties
Raw formation energy, meV/atom: -156
M_tot, μB/f.u.: 0.0
Energy, eV per atom: -7.383

---

No. 16
CeErGeIr | GGA-PBE | optimized geometry

Unit cell a=4.090 b=4.325 c=5.476 alpha=90.00 beta=111.93 gamma=90.00
Element x y z (fractional)
Ge 0.575 0.500 0.149
Ce 0.146 0.000 0.292
Ir 0.416 0.000 0.833
Er 0.863 0.500 0.726

Properties
M_tot, μB/f.u.: 0.0
Energy relative to the elements, eV/atom: -0.8164
Energy, eV per atom: -6.810

---

No. 17
Ac7IrPt4 | GGA-PBE | optimized geometry

Unit cell a=4.310 b=7.537 c=13.160 alpha=104.39 beta=90.00 gamma=106.61
Element x y z (fractional)
Ac 0.344 0.688 0.948
Ac 0.959 0.918 0.216
Ac 0.267 0.534 0.638
Ac 0.038 0.076 0.781
Ac 0.653 0.307 0.051
Ac 0.742 0.484 0.363
Ac 0.498 0.996 0.503
Pt 0.999 0.997 0.000
Pt 0.116 0.232 0.424
Pt 0.696 0.393 0.822
Pt 0.302 0.605 0.178
Ir 0.886 0.771 0.574

Properties
M_tot, μB/f.u.: 0.0
Energy relative to the elements, eV/atom: -0.9478
Energy, eV per atom: -6.096

---

No. 18
AgIrCl2 | GGA-PBE | optimized geometry

Unit cell a=3.010 b=6.376 c=4.119 alpha=90.00 beta=90.00 gamma=90.00
Each line ends with the local moment (μB).
Element x y z (fractional)
Ir 0.500 0.000 0.500  0.84
Cl 0.000 0.000 0.000  0.05
Cl 0.500 0.500 0.000  0.02
Ag 0.000 0.500 0.500  0.02

Properties
Raw formation energy, meV/atom: 536
M_tot, μB/f.u.: 1.0
Energy, eV per atom: -3.315

---

No. 19
TbSmGdPu | GGA-PBE | optimized geometry

Unit cell a=5.624 b=5.624 c=5.624 alpha=60.00 beta=60.00 gamma=60.00
Each line ends with the local moment (μB).
Element x y z (fractional)
Pu 0.000 0.000 0.000  5.62
Gd 0.750 0.750 0.750  -6.85
Tb 0.500 0.500 0.500  0.30
Sm 0.250 0.250 0.250  0.27

Properties
M_tot, μB/f.u.: 0.1
Energy relative to the elements, eV/atom: 0.2065
Energy, eV per atom: -9.234

---

No. 20
SbPdO3 | GGA-PBE | optimized geometry

Unit cell a=3.923 b=3.910 c=9.003 alpha=90.00 beta=88.30 gamma=90.00
Each line ends with the local moment (μB).
Element x y z (fractional)
Sb 0.508 0.750 0.347  0.00
Sb 0.492 0.250 0.653  0.00
Pd 0.177 0.750 0.946  0.47
Pd 0.823 0.250 0.054  0.47
O 0.989 0.250 0.667  0.03
O 0.506 0.250 0.413  0.01
O 0.494 0.750 0.587  0.01
O 0.453 0.250 0.876  0.11
O 0.011 0.750 0.333  0.03
O 0.547 0.750 0.124  0.11

Properties
Raw formation energy, meV/atom: -717
M_tot, μB/f.u.: 0.7
Energy, eV per atom: -5.555